[1]
Crystalline Zn2CdP at its relaxed geometry, computed with PBE.

abc: 6.221 6.221 6.725
angles: 62.45 62.45 90.00
Fractional coordinates of all 8 atoms:
P  0.500  0.500  0.000
P  0.250  0.750  0.500
Zn  0.556  0.125  0.250
Zn  0.194  0.625  0.250
Zn  0.375  0.444  0.750
Zn  0.875  0.806  0.750
Cd  0.000  0.000  0.000
Cd  0.750  0.250  0.500

Values from the calculation:
Volume (Å³ per atom): 24.61
DOS at the Fermi energy (states/eV/cell): 5.3
Crystal system: tetragonal
Energy relative to the elements (eV/atom): 0.148
ΔE to the lowest computed polymorph (meV/atom): 83.0

[2]
Crystalline Zn2CdP at its relaxed geometry, computed with PBE.

abc: 2.915 2.915 8.269
angles: 90.00 90.00 90.00
Fractional coordinates of all 4 atoms:
Zn  0.000  0.000  0.001
Zn  0.500  0.500  0.224
Cd  0.000  0.000  0.492
P  0.500  0.500  0.783

Values from the calculation:
Volume (Å³ per atom): 17.56
DOS at the Fermi energy (states/eV/cell): 1.7
Crystal system: tetragonal
Energy relative to the elements (eV/atom): 0.272
ΔE to the lowest computed polymorph (meV/atom): 207.7

[3]
Crystalline Zn2CdP at its relaxed geometry, computed with PBE.

abc: 2.947 2.947 8.335
angles: 90.00 90.00 100.65
Fractional coordinates of all 4 atoms:
Zn  0.000  0.000  0.004
Zn  0.500  0.500  0.777
Cd  0.000  0.000  0.506
P  0.500  0.500  0.213

Values from the calculation:
Volume (Å³ per atom): 17.79
DOS at the Fermi energy (states/eV/cell): 2.1
Crystal system: orthorhombic
Energy relative to the elements (eV/atom): 0.273
ΔE to the lowest computed polymorph (meV/atom): 208.3

[4]
Crystalline ZnCdP4 at its relaxed geometry, computed with PBE.

abc: 6.408 6.408 6.408
angles: 60.00 60.00 60.00
Fractional coordinates of all 6 atoms:
Zn  0.750  0.750  0.750
Cd  0.000  0.000  0.000
P  0.414  0.758  0.414
P  0.758  0.414  0.414
P  0.414  0.414  0.758
P  0.414  0.414  0.414

Values from the calculation:
Volume (Å³ per atom): 31.01
Crystal system: cubic
Energy relative to the elements (eV/atom): 0.350

[5]
Crystalline ZnCd2P2 at its relaxed geometry, computed with PBE.

abc: 7.118 7.118 3.955
angles: 90.00 90.00 90.00
Fractional coordinates of all 10 atoms:
P  0.317  0.817  0.000
P  0.817  0.683  0.000
P  0.683  0.183  0.000
P  0.183  0.317  0.000
Zn  0.000  0.000  0.000
Zn  0.500  0.500  0.000
Cd  0.141  0.641  0.500
Cd  0.641  0.859  0.500
Cd  0.859  0.359  0.500
Cd  0.359  0.141  0.500

Values from the calculation:
Volume (Å³ per atom): 20.04
DOS at the Fermi energy (states/eV/cell): 4.8
Crystal system: tetragonal
Energy relative to the elements (eV/atom): 0.249

[6]
Crystalline Zn3CdP at its relaxed geometry, computed with PBE.

abc: 4.783 4.783 4.783
angles: 90.00 90.00 90.00
Fractional coordinates of all 5 atoms:
P  0.000  0.000  0.000
Zn  0.000  0.500  0.000
Zn  0.000  0.000  0.500
Zn  0.500  0.000  0.000
Cd  0.500  0.500  0.500

Values from the calculation:
Volume (Å³ per atom): 21.88
DOS at the Fermi energy (states/eV/cell): 1.9
Crystal system: cubic
Energy relative to the elements (eV/atom): 0.290
ΔE to the lowest computed polymorph (meV/atom): 0.0

[7]
Crystalline Zn2CdP at its relaxed geometry, computed with PBE.

abc: 5.062 5.062 5.062
angles: 136.54 125.46 72.18
Fractional coordinates of all 4 atoms:
Zn  0.723  0.723  0.000
Zn  0.277  0.277  0.000
Cd  0.000  0.500  0.500
P  0.500  0.000  0.500

Values from the calculation:
Volume (Å³ per atom): 17.78
DOS at the Fermi energy (states/eV/cell): 1.6
Crystal system: orthorhombic
Energy relative to the elements (eV/atom): 0.237
ΔE to the lowest computed polymorph (meV/atom): 172.5

[8]
Crystalline ZnCdP at its relaxed geometry, computed with PBE.

abc: 4.606 4.606 2.986
angles: 90.00 90.00 120.00
Fractional coordinates of all 3 atoms:
Zn  0.333  0.667  0.499
Cd  0.000  0.000  0.000
P  0.667  0.333  0.501

Values from the calculation:
Volume (Å³ per atom): 18.29
DOS at the Fermi energy (states/eV/cell): 2.3
Crystal system: hexagonal
Energy relative to the elements (eV/atom): 0.321
ΔE to the lowest computed polymorph (meV/atom): 241.1

[9]
Crystalline Zn2CdP at its relaxed geometry, computed with PBE.

abc: 2.709 3.546 7.380
angles: 90.00 90.00 90.00
Fractional coordinates of all 4 atoms:
Zn  0.000  0.000  0.716
Zn  0.000  0.000  0.284
Cd  0.500  0.500  0.000
P  0.500  0.500  0.500

Values from the calculation:
Volume (Å³ per atom): 17.73
DOS at the Fermi energy (states/eV/cell): 0.9
Crystal system: orthorhombic
Energy relative to the elements (eV/atom): 0.207
ΔE to the lowest computed polymorph (meV/atom): 142.7

[10]
Crystalline Zn2CdP at its relaxed geometry, computed with PBE.

abc: 4.692 4.692 4.692
angles: 60.00 60.00 60.00
Fractional coordinates of all 4 atoms:
Zn  0.000  0.000  0.000
Zn  0.750  0.750  0.750
Cd  0.500  0.500  0.500
P  0.250  0.250  0.250

Values from the calculation:
Volume (Å³ per atom): 18.26
DOS at the Fermi energy (states/eV/cell): 2.5
Crystal system: cubic
Energy relative to the elements (eV/atom): 0.326
ΔE to the lowest computed polymorph (meV/atom): 260.9

[11]
Crystalline Zn2CdP at its relaxed geometry, computed with PBE.

abc: 4.090 4.090 6.495
angles: 70.31 70.31 53.87
Fractional coordinates of all 4 atoms:
Zn  0.057  0.057  0.940
Zn  0.231  0.231  0.218
Cd  0.432  0.432  0.494
P  0.780  0.780  0.848

Values from the calculation:
Volume (Å³ per atom): 20.31
DOS at the Fermi energy (states/eV/cell): 1.0
Crystal system: monoclinic
Energy relative to the elements (eV/atom): 0.097
ΔE to the lowest computed polymorph (meV/atom): 32.2

[12]
Crystalline ZnCdP at its relaxed geometry, computed with PBE.

abc: 6.244 6.244 6.244
angles: 151.57 151.57 40.64
Fractional coordinates of all 3 atoms:
Zn  0.685  0.685  0.000
Cd  0.002  0.002  0.000
P  0.313  0.313  0.000

Values from the calculation:
Volume (Å³ per atom): 18.36
DOS at the Fermi energy (states/eV/cell): 1.8
Crystal system: tetragonal
Energy relative to the elements (eV/atom): 0.321
ΔE to the lowest computed polymorph (meV/atom): 240.6